Run w
Below is a geometry-optimized InSeO2 structure, with properties calculated at the PBE level.

Cell: 5.976 5.976 5.976 Å, 90.00 90.00 90.00°
Space group Fm-3m (No. 225)
One atom of each set of equivalent atoms:
In: 0.000 0.000 0.000 (multiplicity 4)
Se: 0.000 0.000 0.500 (multiplicity 4)
O: 0.250 0.250 0.250 (multiplicity 8)

Crystal system = cubic
Size of the total moment = 1.1 Bohr magnetons per cell
D(E_F) = 1.13 states/eV per atom

***

Run x
Below is a geometry-optimized InSeO2 structure, with properties calculated at the PBE level.

Cell: 5.952 5.952 7.057 Å, 90.00 90.00 90.00°
Space group I-42d (No. 122)
One atom of each set of equivalent atoms:
In: 0.000 0.000 0.000 (multiplicity 4)
Se: 0.000 0.000 0.500 (multiplicity 4)
O: 0.215 0.750 0.125 (multiplicity 8)

Crystal system = tetragonal
Size of the total moment = 0.0 Bohr magnetons per cell
D(E_F) = 0.67 states/eV per atom

***

run x is favored, and the nearest alternative lies 49.2 kJ/mol of atoms above it.

***

Run w
Below is a geometry-optimized InSeO2 structure, with properties calculated at the PBE level.

Cell: 3.3036 3.3036 19.0979 Å, 90.00 90.00 120.00°
Space group R-3m (No. 166, hexagonal axes)
One atom of each set of equivalent atoms:
In: 0.0000 0.0000 0.0000 (multiplicity 3)
Se: 0.0000 0.0000 0.5000 (multiplicity 3)
O: 0.0000 0.0000 0.3909 (multiplicity 6)

Crystal system = trigonal
Size of the total moment = 0.0 Bohr magnetons per cell
D(E_F) = 0.30 states/eV per atom

***

Run x
Below is a geometry-optimized InSeO2 structure, with properties calculated at the PBE level.

Cell: 3.2821 3.2821 20.5684 Å, 90.00 90.00 120.00°
Space group R-3m (No. 166, hexagonal axes)
One atom of each set of equivalent atoms:
In: 0.0000 0.0000 0.0000 (multiplicity 3)
Se: 0.0000 0.0000 0.5000 (multiplicity 3)
O: 0.0000 0.0000 0.1170 (multiplicity 6)

Crystal system = trigonal
Size of the total moment = 0.0 Bohr magnetons per cell
D(E_F) = 0.34 states/eV per atom

***

run w is favored, and the nearest alternative lies 63.8 kJ/mol of atoms above it.

***

Run w
Below is a geometry-optimized InSe2O structure, with properties calculated at the PBE level.

Cell: 4.2007 4.2007 20.1973 Å, 90.00 90.00 120.00°
Space group R-3m (No. 166, hexagonal axes)
One atom of each set of equivalent atoms:
In: 0.0000 0.0000 0.0000 (multiplicity 3)
Se: 0.0000 0.0000 0.4055 (multiplicity 6)
O: 0.0000 0.0000 0.5000 (multiplicity 3)

Crystal system = trigonal
Size of the total moment = 0.0 Bohr magnetons per cell
D(E_F) = 1.15 states/eV per atom

***

Run x
Below is a geometry-optimized InSe2O structure, with properties calculated at the PBE level.

Cell: 6.582 6.582 6.582 Å, 90.00 90.00 90.00°
Space group Fm-3m (No. 225)
One atom of each set of equivalent atoms:
In: 0.000 0.000 0.000 (multiplicity 4)
Se: 0.250 0.250 0.250 (multiplicity 8)
O: 0.000 0.000 0.500 (multiplicity 4)

Crystal system = cubic
Size of the total moment = 0.0 Bohr magnetons per cell
D(E_F) = 0.97 states/eV per atom

***

run w is favored, and the nearest alternative lies 50.4 kJ/mol of atoms above it.

***

Run w
Below is a geometry-optimized InSe2O structure, with properties calculated at the PBE level.

Cell: 3.0643 3.0643 27.5760 Å, 90.00 90.00 120.00°
Space group R-3m (No. 166, hexagonal axes)
One atom of each set of equivalent atoms:
In: 0.0000 0.0000 0.0000 (multiplicity 3)
Se: 0.0000 0.0000 0.1064 (multiplicity 6)
O: 0.0000 0.0000 0.5000 (multiplicity 3)

Crystal system = trigonal
Size of the total moment = 0.0 Bohr magnetons per cell
D(E_F) = 0.70 states/eV per atom

***

Run x
Below is a geometry-optimized InSe2O structure, with properties calculated at the PBE level.

Cell: 5.283 5.283 13.197 Å, 90.00 90.00 90.00°
Space group I-42d (No. 122)
One atom of each set of equivalent atoms:
In: 0.000 0.000 0.000 (multiplicity 4)
Se: 0.153 0.250 0.625 (multiplicity 8)
O: 0.000 0.000 0.500 (multiplicity 4)

Crystal system = tetragonal
Size of the total moment = 0.0 Bohr magnetons per cell
D(E_F) = 0.38 states/eV per atom

***

run x is favored, and the nearest alternative lies 40.9 kJ/mol of atoms above it.

***

Run w
Below is a geometry-optimized InSeO4 structure, with properties calculated at the PBE level.

Cell: 5.609 5.609 5.397 Å, 90.00 90.00 90.00°
Space group I-4m2 (No. 119)
One atom of each set of equivalent atoms:
In: 0.000 0.000 0.000 (multiplicity 2)
Se: 0.000 0.500 0.250 (multiplicity 2)
O: 0.226 0.274 0.250 (multiplicity 8)

Crystal system = tetragonal
Size of the total moment = 0.0 Bohr magnetons per cell
D(E_F) = 0.49 states/eV per atom

***

Run x
Below is a geometry-optimized InSeO4 structure, with properties calculated at the PBE level.

Cell: 9.589 5.730 6.497 Å, 90.00 90.57 90.00°
Space group C2/c (No. 15)
One atom of each set of equivalent atoms:
In: 0.250 0.250 0.000 (multiplicity 4)
Se: 0.000 0.074 0.250 (multiplicity 4)
O: 0.023 0.260 0.043 (multiplicity 8)
O: 0.196 0.028 0.277 (multiplicity 8)

Crystal system = monoclinic
Size of the total moment = 3.9 Bohr magnetons per cell
D(E_F) = 0.18 states/eV per atom

***

run x is favored, and the nearest alternative lies 41.1 kJ/mol of atoms above it.

***

Run w
Below is a geometry-optimized In2SeO structure, with properties calculated at the PBE level.

Cell: 6.753 6.753 6.753 Å, 90.00 90.00 90.00°
Space group Fm-3m (No. 225)
One atom of each set of equivalent atoms:
In: 0.250 0.250 0.250 (multiplicity 8)
Se: 0.000 0.000 0.000 (multiplicity 4)
O: 0.000 0.000 0.500 (multiplicity 4)

Crystal system = cubic
Size of the total moment = 0.0 Bohr magnetons per cell
D(E_F) = 0.41 states/eV per atom

***

Run x
Below is a geometry-optimized In2SeO structure, with properties calculated at the PBE level.

Cell: 5.734 5.734 11.938 Å, 90.00 90.00 90.00°
Space group I-42d (No. 122)
One atom of each set of equivalent atoms:
In: 0.168 0.250 0.125 (multiplicity 8)
Se: 0.000 0.000 0.500 (multiplicity 4)
O: 0.000 0.000 0.000 (multiplicity 4)

Crystal system = tetragonal
Size of the total moment = 0.0 Bohr magnetons per cell
D(E_F) = 0.33 states/eV per atom

***

run x is favored, and the nearest alternative lies 45.4 kJ/mol of atoms above it.